Here is Ac5Hf2Se12 after structural relaxation from Alexandria. Energies are from PBE.

```
Ac5Hf2Se12
1.0
-1.621 -6.742 -3.319
8.073 0.091 4.773
-6.976 -1.609 6.675
Ac Se Hf
5 12 2
Cartesian
-0.382 -5.248 1.943
3.402 -2.315 3.041
-0.142 -3.012 6.186
-3.488 -0.805 3.338
-3.926 -5.944 5.088
2.496 -1.307 5.873
-1.106 -2.020 9.053
1.619 -4.548 8.446
5.154 -6.943 2.682
-5.677 -1.317 5.447
-2.212 -3.592 3.911
1.385 -2.899 0.720
0.582 -6.239 -0.924
1.688 -4.668 4.218
-3.020 -6.953 2.256
-1.909 -5.360 7.409
-2.143 -3.712 -0.317
-1.214 -5.048 -2.486
-0.407 -1.693 -0.834
```

Summary:
- Uncorrected formation energy: -33.0 eV/f.u.
- Crystal system: monoclinic
- Total energy: -6.065 eV per atom

Here is Ac6HfSe12 after structural relaxation from Alexandria. Energies are from PBE.

```
Ac6HfSe12
1.0
-5.251 -6.885 0.835
5.284 -1.573 6.729
-5.101 5.982 3.725
Se Ac Hf
12 6 1
Cartesian
3.217 -3.272 7.042
-1.394 -7.390 5.544
-4.361 0.111 3.743
-1.601 -3.628 4.162
-6.350 -4.968 2.376
-3.467 1.151 7.127
-4.912 -3.003 5.567
-0.156 0.527 5.722
-8.284 0.795 4.247
-3.674 4.914 5.745
-0.706 -2.588 7.546
1.282 2.492 8.914
-4.065 -2.802 2.506
-2.377 2.376 4.400
-6.180 -0.298 6.322
-1.003 0.326 8.783
1.112 -2.179 4.967
-2.690 -4.853 6.889
0.000 0.000 0.000
```

Summary:
- Uncorrected formation energy: -33.0 eV/f.u.
- Crystal system: trigonal
- Total energy: -5.758 eV per atom

Here is Ac2HfTl2Se6 after structural relaxation from Alexandria. Energies are from PBE.

```
Ac2HfTl2Se6
1.0
7.505 0.038 0.080
-3.676 6.543 0.080
-1.355 -2.330 7.643
Se Tl Ac Hf
6 2 2 1
Cartesian
0.446 0.766 2.259
0.938 5.422 2.385
2.028 3.486 5.543
1.535 -1.171 5.417
-1.777 0.756 5.417
4.250 3.496 2.385
5.622 1.134 0.080
-1.793 5.447 0.080
-0.624 3.208 3.901
3.098 1.043 3.901
-0.678 -1.165 3.821
```

Summary:
- Uncorrected formation energy: -15.1 eV/f.u.
- Crystal system: monoclinic
- Total energy: -5.360 eV per atom

Here is AcHfSi after structural relaxation from Alexandria. Energies are from PBE.

```
AcHfSi
1.0
-1.709 3.911 2.826
1.619 -3.156 0.711
10.553 5.223 -0.847
Hf Ac Si
2 2 2
Cartesian
9.661 4.168 0.073
1.486 0.123 0.729
6.594 5.027 1.667
2.846 3.172 1.967
5.575 2.143 0.406
-0.558 1.490 2.237
```

Summary:
- Uncorrected formation energy: -0.2 eV/f.u.
- Crystal system: orthorhombic
- Total energy: -6.572 eV per atom

Here is AcHfSi4 after structural relaxation from Alexandria. Energies are from PBE.

```
AcHfSi4
1.0
3.941 0.000 0.000
0.000 8.092 0.000
0.000 0.000 15.105
Si Ac Hf
16 4 4
Cartesian
1.970 5.844 10.459
1.970 4.226 12.170
1.970 5.043 14.403
1.970 6.295 2.907
1.970 1.798 12.199
1.970 3.866 2.936
1.970 2.992 6.928
1.970 7.095 6.850
1.970 7.038 0.624
1.970 1.054 14.481
1.970 3.049 0.702
1.970 0.180 10.488
1.970 2.249 4.646
1.970 7.913 4.617
1.970 5.100 8.177
1.970 0.997 8.255
0.000 0.997 2.244
0.000 7.096 12.862
0.000 5.043 5.309
0.000 3.049 9.796
0.000 7.077 8.864
0.000 5.061 1.311
0.000 3.031 13.794
0.000 1.015 6.242
```

Summary:
- Uncorrected formation energy: -2.7 eV/f.u.
- Crystal system: orthorhombic
- Total energy: -6.414 eV per atom

Here is Ac2SmHf after structural relaxation from Alexandria. Energies are from PBE.

```
Ac2SmHf
1.0
3.580 0.000 0.000
1.790 3.101 0.000
1.790 1.034 12.730
Ac Hf Sm
2 1 1
Cartesian
1.790 1.034 9.533
5.370 3.101 3.197
0.000 0.000 0.000
3.580 2.067 6.365
```

Summary:
- Formation enthalpy at 0 K: 0.547 eV per atom
- Crystal system: trigonal
- Total energy: -5.175 eV per atom

Here is AcSm2Hf after structural relaxation from Alexandria. Energies are from PBE.

```
AcSm2Hf
1.0
-1.505 -3.062 0.793
1.971 -2.867 0.409
1.344 0.564 12.464
Sm Ac Hf
2 1 1
Cartesian
0.763 -5.293 4.220
1.047 -0.071 9.447
0.905 -2.682 6.833
0.000 0.000 0.000
```

Summary:
- Formation enthalpy at 0 K: 0.499 eV per atom
- Crystal system: trigonal
- Total energy: -5.376 eV per atom

Here is AcHfSn after structural relaxation from Alexandria. Energies are from PBE.

```
AcHfSn
1.0
-2.763 1.389 1.639
1.273 -3.092 1.030
10.096 7.664 10.527
Hf Ac Sn
2 2 2
Cartesian
1.396 -0.227 2.546
8.579 5.227 10.036
1.814 2.605 4.587
5.471 5.382 8.401
4.988 2.500 6.291
-1.406 0.162 1.230
```

Summary:
- Formation enthalpy at 0 K: 0.069 eV per atom
- Crystal system: hexagonal
- Total energy: -5.953 eV per atom

Number 1: magnetization 0.0 μB/cell. Number 2: magnetization 0.0 μB/cell. Number 3: magnetization 0.0 μB/cell. Number 4: magnetization 0.0 μB/cell. Number 5: magnetization 0.0 μB/cell. Number 6: magnetization 0.0 μB/cell. Number 7: magnetization 0.0 μB/cell. Number 8: magnetization 0.0 μB/cell.